# 1
La2CoH5: optimized geometry, PBE.

* total moment: 0.32 μB per formula unit
* electronic total energy: -4.70 eV/atom

Unit cell a=5.180 b=5.180 c=5.180 alpha=120.98 beta=120.98 gamma=88.31
Atoms (fractional coordinates):
La (0.000, 0.500, 0.500)
La (0.500, 0.000, 0.500)
Co (0.241, 0.241, 0.000)
H (0.017, 0.017, 0.000)
H (0.032, 0.032, 0.550)
H (0.032, 0.482, 0.000)
H (0.482, 0.032, 0.000)
H (0.482, 0.482, 0.450)

---

# 2
La12Co5H: optimized geometry, PBE.

* total moment: 0.00 μB per formula unit
* electronic total energy: -5.56 eV/atom

Unit cell a=6.970 b=6.970 c=13.015 alpha=95.03 beta=95.03 gamma=119.95
Atoms (fractional coordinates):
La (0.043, 0.372, 0.116)
La (0.122, 0.122, 0.382)
La (0.203, 0.540, 0.618)
La (0.299, 0.299, 0.883)
La (0.372, 0.043, 0.116)
La (0.460, 0.797, 0.382)
La (0.540, 0.203, 0.618)
La (0.628, 0.957, 0.884)
La (0.701, 0.701, 0.117)
La (0.797, 0.460, 0.382)
La (0.878, 0.878, 0.618)
La (0.957, 0.628, 0.884)
Co (0.000, 0.000, 0.000)
Co (0.167, 0.833, 0.500)
Co (0.333, 0.667, 0.000)
Co (0.667, 0.333, 0.000)
Co (0.833, 0.167, 0.500)
H (0.500, 0.500, 0.500)

---

# 3
LaCo2H8: optimized geometry, PBE.

* E above lowest polymorph: 45 meV per atom
* total moment: 0.22 μB per formula unit

Unit cell a=4.634 b=4.634 c=3.955 alpha=90.00 beta=90.00 gamma=117.23
Atoms (fractional coordinates):
La (0.000, 0.000, 0.000)
Co (0.328, 0.672, 0.500)
Co (0.672, 0.328, 0.500)
H (0.024, 0.321, 0.500)
H (0.319, 0.681, 0.000)
H (0.321, 0.024, 0.500)
H (0.500, 0.500, 0.270)
H (0.500, 0.500, 0.730)
H (0.679, 0.976, 0.500)
H (0.681, 0.319, 0.000)
H (0.976, 0.679, 0.500)

---

Which formula does entry 3 have?
LaCo2H8